Compound: LiPt3
Source: Alexandria via LeMat-Bulk
Functional: PBE-GGA
Structure: optimized geometry

Output
* DFT total energy: -0.1908 hartree per atom
* magnetization: 0.00 μB/f.u.

Cell and atoms, written as CIF:
```
data_LiPt3
_chemical_formula_sum 'Li4 Pt12'
_cell_length_a 6.2183
_cell_length_b 6.2183
_cell_length_c 6.2183
_cell_angle_alpha 90.00
_cell_angle_beta 90.00
_cell_angle_gamma 90.00
_space_group_name_H-M_alt 'F m -3 m'
_space_group_IT_number 225
_space_group_name_Hall '-F 4 2 3'
loop_
_atom_site_label
_atom_site_type_symbol
_atom_site_fract_x
_atom_site_fract_y
_atom_site_fract_z
_atom_site_occupancy
Li1 Li 0.0000 0.0000 0.0000 1
Pt1 Pt 0.0000 0.0000 0.5000 1
Pt2 Pt 0.2500 0.2500 0.2500 1
```

***

Compound: LiPt
Source: Alexandria via LeMat-Bulk
Functional: PBE-GGA
Structure: optimized geometry

Output
* DFT total energy: -0.1148 hartree per atom
* magnetization: 0.00 μB/f.u.

Cell and atoms, written as CIF:
```
data_LiPt
_chemical_formula_sum 'Li6 Pt6'
_cell_length_a 6.6884
_cell_length_b 6.6884
_cell_length_c 6.6884
_cell_angle_alpha 90.00
_cell_angle_beta 90.00
_cell_angle_gamma 90.00
_space_group_name_H-M_alt 'P m -3 n'
_space_group_IT_number 223
_space_group_name_Hall '-P 4n 2 3'
loop_
_atom_site_label
_atom_site_type_symbol
_atom_site_fract_x
_atom_site_fract_y
_atom_site_fract_z
_atom_site_occupancy
Li1 Li 0.0000 0.2500 0.5000 1
Pt1 Pt 0.0000 0.5000 0.2500 1
```

***

Compound: LiPt2
Source: Alexandria via LeMat-Bulk
Functional: PBE-GGA
Structure: optimized geometry

Output
* DFT total energy: -0.1850 hartree per atom
* magnetization: 0.00 μB/f.u.

Cell and atoms, written as CIF:
```
data_LiPt2
_chemical_formula_sum 'Li4 Pt8'
_cell_length_a 5.2804
_cell_length_b 5.2804
_cell_length_c 8.5054
_cell_angle_alpha 90.00
_cell_angle_beta 90.00
_cell_angle_gamma 120.00
_space_group_name_H-M_alt 'P 63/m m c'
_space_group_IT_number 194
_space_group_name_Hall '-P 6c 2c'
loop_
_atom_site_label
_atom_site_type_symbol
_atom_site_fract_x
_atom_site_fract_y
_atom_site_fract_z
_atom_site_occupancy
Li1 Li 0.3333 0.6667 0.0709 1
Pt1 Pt 0.0000 0.0000 0.0000 1
Pt2 Pt 0.1707 0.3414 0.7500 1
```

***

Compound: LiPt
Source: Alexandria via LeMat-Bulk
Functional: PBE-GGA
Structure: optimized geometry

Output
* DFT total energy: -0.1631 hartree per atom
* magnetization: 0.00 μB/f.u.

Cell and atoms, written as CIF:
```
data_LiPt
_chemical_formula_sum 'Li6 Pt6'
_cell_length_a 4.3856
_cell_length_b 4.3856
_cell_length_c 11.2749
_cell_angle_alpha 90.00
_cell_angle_beta 90.00
_cell_angle_gamma 120.00
_space_group_name_H-M_alt 'R -3 m'
_space_group_IT_number 166
_space_group_name_Hall '-R 3 2"'
loop_
_atom_site_label
_atom_site_type_symbol
_atom_site_fract_x
_atom_site_fract_y
_atom_site_fract_z
_atom_site_occupancy
Li1 Li 0.0000 0.0000 0.1165 1
Pt1 Pt 0.0000 0.0000 0.3422 1
```

***

Compound: Li5Pt
Source: Alexandria via LeMat-Bulk
Functional: PBE-GGA
Structure: optimized geometry

Output
* DFT total energy: -0.1051 hartree per atom
* magnetization: 0.00 μB/f.u.

Cell and atoms, written as CIF:
```
data_Li5Pt
_chemical_formula_sum 'Li10 Pt2'
_cell_length_a 10.0350
_cell_length_b 3.0349
_cell_length_c 6.7260
_cell_angle_alpha 90.00
_cell_angle_beta 108.72
_cell_angle_gamma 90.00
_space_group_name_H-M_alt 'C 1 m 1'
_space_group_IT_number 8
_space_group_name_Hall 'C -2y'
loop_
_atom_site_label
_atom_site_type_symbol
_atom_site_fract_x
_atom_site_fract_y
_atom_site_fract_z
_atom_site_occupancy
Li1 Li 0.0000 0.0000 0.0000 1
Li2 Li 0.0288 0.0000 0.6045 1
Li3 Li 0.1694 0.5000 0.3285 1
Li4 Li 0.3064 0.0000 0.7156 1
Li5 Li 0.3523 0.0000 0.2071 1
Pt1 Pt 0.1862 0.5000 0.9221 1
```

***

Compound: Li4Pt
Source: Alexandria via LeMat-Bulk
Functional: PBE-GGA
Structure: optimized geometry

Output
* DFT total energy: -0.1137 hartree per atom
* magnetization: 0.00 μB/f.u.

Cell and atoms, written as CIF:
```
data_Li4Pt
_chemical_formula_sum 'Li8 Pt2'
_cell_length_a 7.5170
_cell_length_b 4.4169
_cell_length_c 5.0180
_cell_angle_alpha 90.00
_cell_angle_beta 118.20
_cell_angle_gamma 90.00
_space_group_name_H-M_alt 'C 1 2/m 1'
_space_group_IT_number 12
_space_group_name_Hall '-C 2y'
loop_
_atom_site_label
_atom_site_type_symbol
_atom_site_fract_x
_atom_site_fract_y
_atom_site_fract_z
_atom_site_occupancy
Li1 Li 0.1096 0.0000 0.3281 1
Li2 Li 0.1990 0.5000 0.1020 1
Pt1 Pt 0.0000 0.5000 0.5000 1
```

***

Compound: Li2Pt
Source: Alexandria via LeMat-Bulk
Functional: PBE-GGA
Structure: optimized geometry

Output
* DFT total energy: -0.1355 hartree per atom
* magnetization: 0.00 μB/f.u.

Cell and atoms, written as CIF:
```
data_Li2Pt
_chemical_formula_sum 'Li2 Pt1'
_cell_length_a 2.7902
_cell_length_b 2.7902
_cell_length_c 6.7796
_cell_angle_alpha 90.00
_cell_angle_beta 90.00
_cell_angle_gamma 120.00
_space_group_name_H-M_alt 'P -3 m 1'
_space_group_IT_number 164
_space_group_name_Hall '-P 3 2"'
loop_
_atom_site_label
_atom_site_type_symbol
_atom_site_fract_x
_atom_site_fract_y
_atom_site_fract_z
_atom_site_occupancy
Li1 Li 0.3333 0.6667 0.1934 1
Pt1 Pt 0.0000 0.0000 0.5000 1
```

***

Compound: Li4Pt
Source: Alexandria via LeMat-Bulk
Functional: PBE-GGA
Structure: optimized geometry

Output
* DFT total energy: -0.1137 hartree per atom
* magnetization: 0.00 μB/f.u.

Cell and atoms, written as CIF:
```
data_Li4Pt
_chemical_formula_sum 'Li8 Pt2'
_cell_length_a 6.0138
_cell_length_b 6.0138
_cell_length_c 4.0901
_cell_angle_alpha 90.00
_cell_angle_beta 90.00
_cell_angle_gamma 90.00
_space_group_name_H-M_alt 'I 4/m'
_space_group_IT_number 87
_space_group_name_Hall '-I 4'
loop_
_atom_site_label
_atom_site_type_symbol
_atom_site_fract_x
_atom_site_fract_y
_atom_site_fract_z
_atom_site_occupancy
Li1 Li 0.1098 0.2846 0.0000 1
Pt1 Pt 0.0000 0.0000 0.5000 1
```